First-principles (PBE with a Hubbard U) data for CoNiCO4 after structural relaxation, as listed in Alexandria.

Properties
Size of the total moment ... 8.17 μB per cell
DOS(E_F) ... 0.2016 states/eV per atom
VASP energy ... -5.976 eV/atom

Cell lengths 6.3138, 6.3138, 6.3138 Å; angles 132.12, 131.95, 70.17 degrees
Last column: nearest neighbours and their distance in Å.
Fractional coordinates of all 14 atoms:
Co  0.0000  0.0000  0.0000  4 O 1.94
Co  0.5000  0.0000  0.5000  4 O 1.94
Ni  0.5000  0.0000  0.0000  4 O 1.97
Ni  0.5000  0.5000  0.5000  4 O 1.97
C  0.1231  0.3731  0.7500  4 O 1.38-1.44
C  0.8769  0.6269  0.2500  4 O 1.38-1.44
O  0.1748  0.6972  0.4775  1 C 1.38
O  0.2016  0.2184  0.5167  1 C 1.44
O  0.2016  0.6849  0.9833  1 C 1.44
O  0.2803  0.3028  0.9775  1 C 1.38
O  0.7197  0.6972  0.0225  1 C 1.38
O  0.7984  0.3151  0.0167  1 C 1.44
O  0.7984  0.7816  0.4833  1 C 1.44
O  0.8252  0.3028  0.5225  1 C 1.38